(1)
First-principles (PBE) data for a geometry-optimized CdGaFeBr2 structure, as listed in Alexandria via LeMat-Bulk.

Calculated values
Total magnetic moment: 4.35 μB per formula unit
Formation energy without anion corrections: 0.619 eV per atom
VASP energy: -12.7 eV for the cell shown

The structure in POSCAR format:
```
CdGaFeBr2
1.0
5.550 0.000 0.000
0.000 5.550 0.000
0.000 0.000 5.377
Cd Ga Fe Br
1 1 1 2
Cartesian
0.000 0.000 0.000
0.000 0.000 2.688
2.775 2.775 2.688
0.000 2.775 0.000
2.775 0.000 0.000
```

***

(2)
First-principles (PBE) data for a geometry-optimized Rb3ZrTa structure, as listed in Alexandria via LeMat-Bulk.

Calculated values
Total magnetic moment: 2.00 μB per formula unit
Offset from the most stable computed form: 0.00 eV/f.u.
VASP energy: -12.5 eV for the cell shown
ΔH_f (0 K): 2.165 eV per atom

The structure in POSCAR format:
```
Rb3ZrTa
1.0
6.864 0.000 0.000
0.000 6.864 0.000
0.000 0.000 6.864
Rb Zr Ta
3 1 1
Cartesian
0.000 0.000 3.432
0.000 3.432 0.000
3.432 0.000 0.000
3.432 3.432 3.432
0.000 0.000 0.000
```